A:
Compound: In3SiAg
Source: Alexandria
Functional: PBE-GGA
Structure: relaxed

Structure (POSCAR):
```
In3SiAg
1.0
5.2296 0.0000 0.0000
0.0000 5.2296 0.0000
0.0000 0.0000 5.2296
In Si Ag
3 1 1
direct
0.0000 0.0000 0.5000
0.0000 0.5000 0.0000
0.5000 0.0000 0.0000
0.0000 0.0000 0.0000
0.5000 0.5000 0.5000
```

* magnetic moment: 0.00 μB/atom
* crystal system: cubic
* space-group type: Pm-3m
* V: 28.61 Å³/atom


B:
Compound: In3SiAg
Source: Alexandria
Functional: PBE-GGA
Structure: relaxed

Structure (POSCAR):
```
In3SiAg
1.0
5.2869 0.0000 0.0000
0.0000 5.2869 0.0000
0.0000 0.0000 5.2869
In Si Ag
3 1 1
direct
0.0000 0.0000 0.5000
0.0000 0.5000 0.0000
0.5000 0.0000 0.0000
0.5000 0.5000 0.5000
0.0000 0.0000 0.0000
```

* magnetic moment: 0.00 μB/atom
* crystal system: cubic
* space-group type: Pm-3m
* V: 29.55 Å³/atom


Which structure wins on stability? A wins.


A:
Compound: In2SiAg2
Source: Alexandria
Functional: PBE-GGA
Structure: relaxed

Structure (POSCAR):
```
In2SiAg2
1.0
8.3194 0.0000 0.0000
0.0000 8.3194 0.0000
0.0000 0.0000 3.1038
In Si Ag
4 2 4
direct
0.1785 0.3215 0.0000
0.3215 0.8215 0.0000
0.6785 0.1785 0.0000
0.8215 0.6785 0.0000
0.0000 0.0000 0.0000
0.5000 0.5000 0.0000
0.1203 0.6203 0.5000
0.3797 0.1203 0.5000
0.6203 0.8797 0.5000
0.8797 0.3797 0.5000
```

* magnetic moment: 0.00 μB/atom
* crystal system: tetragonal
* space-group type: P4/mbm
* V: 21.48 Å³/atom


B:
Compound: In2SiAg2
Source: Alexandria
Functional: PBE-GGA
Structure: relaxed

Structure (POSCAR):
```
In2SiAg2
1.0
6.9671 0.0000 0.0000
0.0000 6.9671 0.0000
0.0000 0.0000 4.4675
In Si Ag
4 2 4
direct
0.1651 0.3349 0.0000
0.3349 0.8349 0.0000
0.6651 0.1651 0.0000
0.8349 0.6651 0.0000
0.0000 0.0000 0.5000
0.5000 0.5000 0.5000
0.1462 0.6462 0.5000
0.3538 0.1462 0.5000
0.6462 0.8538 0.5000
0.8538 0.3538 0.5000
```

* magnetic moment: 0.00 μB/atom
* crystal system: tetragonal
* space-group type: P4/mbm
* V: 21.69 Å³/atom


Which structure wins on stability? B wins.


A:
Compound: Sm8InAg2
Source: Alexandria
Functional: PBE-GGA
Structure: relaxed

Structure (POSCAR):
```
Sm8InAg2
1.0
8.2514 -2.6777 0.0000
8.2514 2.6777 0.0000
-4.2116 0.0000 7.4137
Sm In Ag
8 1 2
direct
0.0674 0.0674 0.2252
0.1432 0.1432 0.7016
0.3151 0.3151 0.5385
0.4016 0.4016 0.0427
0.5984 0.5984 0.9573
0.6849 0.6849 0.4615
0.8568 0.8568 0.2984
0.9326 0.9326 0.7748
0.5000 0.5000 0.5000
0.2220 0.2220 0.1188
0.7780 0.7780 0.8812
```

* magnetic moment: 0.00 μB/atom
* crystal system: monoclinic
* space-group type: C2/m
* V: 29.78 Å³/atom


B:
Compound: Sm8InAg2
Source: Alexandria
Functional: PBE-GGA
Structure: relaxed

Structure (POSCAR):
```
Sm8InAg2
1.0
4.4210 -7.2720 0.0000
4.4210 7.2720 0.0000
-1.8253 0.0000 5.2332
Sm In Ag
8 1 2
direct
0.0880 0.3163 0.5949
0.2302 0.7698 0.0000
0.3163 0.0880 0.5949
0.3987 0.3987 0.1959
0.6013 0.6013 0.8041
0.6837 0.9120 0.4051
0.7698 0.2302 0.0000
0.9120 0.6837 0.4051
0.0000 0.0000 0.0000
0.3069 0.6931 0.5000
0.6931 0.3069 0.5000
```

* magnetic moment: 0.00 μB/atom
* crystal system: monoclinic
* space-group type: C2/m
* V: 30.59 Å³/atom


Which structure wins on stability? A wins.


A:
Compound: SmIn2Ag3
Source: Alexandria
Functional: PBE-GGA
Structure: relaxed

Structure (POSCAR):
```
SmIn2Ag3
1.0
8.6950 -2.3586 0.0000
8.6950 2.3586 0.0000
-1.5171 0.0000 6.5248
Sm In Ag
2 4 6
direct
0.1177 0.1177 0.1540
0.8823 0.8823 0.8460
0.2319 0.2319 0.6595
0.4842 0.4842 0.2063
0.5158 0.5158 0.7937
0.7681 0.7681 0.3405
0.0700 0.0700 0.6575
0.3046 0.3046 0.0793
0.3700 0.3700 0.5064
0.6300 0.6300 0.4936
0.6954 0.6954 0.9207
0.9300 0.9300 0.3425
```

* magnetic moment: 0.00 μB/atom
* crystal system: monoclinic
* space-group type: C2/m
* V: 22.30 Å³/atom


B:
Compound: SmIn2Ag3
Source: Alexandria
Functional: PBE-GGA
Structure: relaxed

Structure (POSCAR):
```
SmIn2Ag3
1.0
4.8025 0.0000 0.0000
-2.4012 4.1591 0.0000
0.0000 0.0000 13.3612
Sm In Ag
2 4 6
direct
0.0000 0.0000 0.2500
0.0000 0.0000 0.7500
0.3333 0.6667 0.0908
0.3333 0.6667 0.4092
0.6667 0.3333 0.5908
0.6667 0.3333 0.9092
0.0000 0.0000 0.0000
0.0000 0.0000 0.5000
0.3333 0.6667 0.6393
0.3333 0.6667 0.8607
0.6667 0.3333 0.1393
0.6667 0.3333 0.3607
```

* magnetic moment: 0.00 μB/atom
* crystal system: hexagonal
* space-group type: P6_3/mmc
* V: 22.24 Å³/atom


Which structure wins on stability? A wins.


A:
Compound: Sm4InAg
Source: Alexandria
Functional: PBE-GGA
Structure: relaxed

Structure (POSCAR):
```
Sm4InAg
1.0
3.6931 0.0000 0.0000
0.0000 3.6931 0.0000
0.0000 0.0000 13.0359
Sm In Ag
4 1 1
direct
0.0000 0.0000 0.1448
0.0000 0.0000 0.8552
0.5000 0.5000 0.3409
0.5000 0.5000 0.6591
0.0000 0.0000 0.5000
0.5000 0.5000 0.0000
```

* magnetic moment: 0.25 μB/atom
* crystal system: tetragonal
* space-group type: P4/mmm
* V: 29.63 Å³/atom


B:
Compound: Sm4InAg
Source: Alexandria
Functional: PBE-GGA
Structure: relaxed

Structure (POSCAR):
```
Sm4InAg
1.0
2.7444 -10.8716 0.0000
2.7444 10.8716 0.0000
0.0000 0.0000 6.5619
Sm In Ag
8 2 2
direct
0.0596 0.9404 0.5000
0.1964 0.8036 0.7756
0.2133 0.7867 0.2943
0.3787 0.6213 0.5484
0.6213 0.3787 0.0484
0.7867 0.2133 0.7943
0.8036 0.1964 0.2756
0.9404 0.0596 0.0000
0.3457 0.6543 0.0348
0.6543 0.3457 0.5348
0.0761 0.9239 0.0136
0.9239 0.0761 0.5136
```

* magnetic moment: 0.00 μB/atom
* crystal system: orthorhombic
* space-group type: Cmc2_1
* V: 32.63 Å³/atom


Which structure wins on stability? A wins.


A:
Compound: SmInAg2
Source: Alexandria
Functional: PBE-GGA
Structure: relaxed

Structure (POSCAR):
```
SmInAg2
1.0
4.6582 0.0000 0.0000
0.0000 4.6582 0.0000
0.0000 0.0000 4.3209
Sm In Ag
1 1 2
direct
0.0000 0.0000 0.0000
0.5000 0.5000 0.0000
0.0000 0.5000 0.5000
0.5000 0.0000 0.5000
```

* magnetic moment: 0.00 μB/atom
* crystal system: tetragonal
* space-group type: P4/mmm
* V: 23.44 Å³/atom


B:
Compound: SmInAg2
Source: Alexandria
Functional: PBE-GGA
Structure: relaxed

Structure (POSCAR):
```
SmInAg2
1.0
0.0000 3.5422 3.5422
3.5422 0.0000 3.5422
3.5422 3.5422 0.0000
Sm In Ag
1 1 2
direct
0.0000 0.0000 0.0000
0.5000 0.5000 0.5000
0.2500 0.2500 0.2500
0.7500 0.7500 0.7500
```

* magnetic moment: 0.00 μB/atom
* crystal system: cubic
* space-group type: Fm-3m
* V: 22.22 Å³/atom


Which structure wins on stability? B wins.


A:
Compound: Sm3InAg
Source: Alexandria
Functional: PBE-GGA
Structure: relaxed

Structure (POSCAR):
```
Sm3InAg
1.0
2.6460 -10.2286 0.0000
2.6460 10.2286 0.0000
0.0000 0.0000 5.2884
Sm In Ag
6 2 2
direct
0.0593 0.9407 0.7500
0.2487 0.7513 0.7500
0.4364 0.5636 0.7500
0.5636 0.4364 0.2500
0.7513 0.2487 0.2500
0.9407 0.0593 0.2500
0.1542 0.8458 0.2500
0.8458 0.1542 0.7500
0.3448 0.6552 0.2500
0.6552 0.3448 0.7500
```

* magnetic moment: 0.06 μB/atom
* crystal system: orthorhombic
* space-group type: Cmcm
* V: 28.63 Å³/atom


B:
Compound: Sm3InAg
Source: Alexandria
Functional: PBE-GGA
Structure: relaxed

Structure (POSCAR):
```
Sm3InAg
1.0
7.6197 -3.4492 0.0000
7.6197 3.4492 0.0000
-0.4183 0.0000 11.1518
Sm In Ag
12 4 4
direct
0.1525 0.2213 0.3244
0.1630 0.7329 0.9236
0.2213 0.1525 0.8244
0.2671 0.8370 0.5764
0.3546 0.4035 0.1677
0.4035 0.3546 0.6677
0.5965 0.6454 0.3323
0.6454 0.5965 0.8323
0.7329 0.1630 0.4236
0.7787 0.8475 0.1756
0.8370 0.2671 0.0764
0.8475 0.7787 0.6756
0.1195 0.6163 0.4215
0.3837 0.8805 0.0785
0.6163 0.1195 0.9215
0.8805 0.3837 0.5785
0.0000 0.5000 0.0000
0.1242 0.8758 0.2500
0.5000 0.0000 0.5000
0.8758 0.1242 0.7500
```

* magnetic moment: 0.00 μB/atom
* crystal system: monoclinic
* space-group type: C2/c
* V: 29.31 Å³/atom


Which structure wins on stability? A wins.


A:
Compound: Sm4In2Ag
Source: Alexandria
Functional: PBE-GGA
Structure: relaxed

Structure (POSCAR):
```
Sm4In2Ag
1.0
7.2195 0.0000 0.0000
0.0000 6.6726 0.0000
-2.9784 0.0000 8.6718
Sm In Ag
8 4 2
direct
0.0877 0.2500 0.0479
0.1707 0.0087 0.7198
0.1707 0.4913 0.7198
0.3268 0.7500 0.3486
0.6732 0.2500 0.6514
0.8293 0.5087 0.2802
0.8293 0.9913 0.2802
0.9123 0.7500 0.9521
0.2208 0.2500 0.4300
0.4381 0.7500 0.0297
0.5619 0.2500 0.9703
0.7792 0.7500 0.5700
0.4916 0.2500 0.2756
0.5084 0.7500 0.7244
```

* magnetic moment: 0.00 μB/atom
* crystal system: monoclinic
* space-group type: P2_1/m
* V: 29.84 Å³/atom


B:
Compound: Sm4In2Ag
Source: Alexandria
Functional: PBE-GGA
Structure: relaxed

Structure (POSCAR):
```
Sm4In2Ag
1.0
2.6692 1.5411 8.6195
-2.6692 1.5411 8.6195
0.0000 -3.0821 8.6195
Sm In Ag
4 2 1
direct
0.1225 0.1225 0.1225
0.3736 0.3736 0.3736
0.6264 0.6264 0.6264
0.8775 0.8775 0.8775
0.2498 0.2498 0.2498
0.7502 0.7502 0.7502
0.5000 0.5000 0.5000
```

* magnetic moment: 0.00 μB/atom
* crystal system: trigonal
* space-group type: R-3m
* V: 30.39 Å³/atom


Which structure wins on stability? B wins.